NpZnNiPt | PBE | relaxed

abc: 4.607 4.607 4.607
angles: 60.00 60.00 60.00
Last column: magnetic moment on the atom in μB.
Sites, in units of the cell vectors:
Ni (0.750, 0.750, 0.750)  -0.25
Zn (0.500, 0.500, 0.500)  0.01
Np (0.000, 0.000, 0.000)  3.44
Pt (0.250, 0.250, 0.250)  -0.09

ΔE_f   -0.226 eV per atom
Uncorrected energy   -6.736 eV per atom
M_tot   0.8324 μB per atom
Mass density   13.4 g/cm³